Entry from the Alexandria database: crystalline CaHgW3 at its relaxed geometry (PBE).

Its space group is Pm-3m (221). The formation energy is 2.67 eV per atom.

abc: 5.0253 5.0253 5.0253
angles: 90.00 90.00 90.00
Closest atoms and distances in Å follow each position.
Positions (direct):
Ca (0.0000, 0.0000, 0.0000)  12 W 3.55
Hg (0.5000, 0.5000, 0.5000)  6 W 2.51
W (0.0000, 0.5000, 0.5000)  2 Hg 2.51
W (0.5000, 0.0000, 0.5000)  2 Hg 2.51
W (0.5000, 0.5000, 0.0000)  2 Hg 2.51